No. 1
This record from Alexandria describes a geometry-optimized ScCdTeO6 structure. The functional is GGA-PBE.

Computed properties:
DFT total energy = -6.0254 eV/atom
Uncorrected formation energy = -1.5656 eV/atom

a b c (Å): 5.445 5.445 9.381
angles (deg): 90.00 90.00 120.00
Each line ends with the local moment (μB).
Sites, in units of the cell vectors:
1 Te 0.667 0.333 0.750  -0.02
2 Te 0.333 0.667 0.250  -0.02
3 O 0.976 0.350 0.637  0.15
4 O 0.350 0.374 0.363  0.15
5 O 0.024 0.650 0.363  0.15
6 O 0.650 0.024 0.863  0.15
7 O 0.024 0.374 0.137  0.15
8 O 0.374 0.024 0.637  0.15
9 O 0.650 0.626 0.637  0.15
10 O 0.374 0.350 0.863  0.15
11 O 0.626 0.976 0.363  0.15
12 O 0.350 0.976 0.137  0.15
13 O 0.976 0.626 0.863  0.15
14 O 0.626 0.650 0.137  0.15
15 Sc 0.333 0.667 0.750  -0.02
16 Sc 0.667 0.333 0.250  -0.02
17 Cd 0.000 0.000 0.000  0.01
18 Cd 0.000 0.000 0.500  0.01

No. 2
This record from Alexandria describes a geometry-optimized SrZrZn2P structure. The functional is GGA-PBE.

Computed properties:
DFT total energy = -1.9783 eV/atom
Energy of formation = 1659.3 meV per atom

a b c (Å): 5.296 6.098 5.296
angles (deg): 90.00 90.00 90.00
Each line ends with the local moment (μB).
Sites, in units of the cell vectors:
1 Zr 0.000 0.500 0.000  1.07
2 Zn 0.000 0.000 0.500  0.02
3 Zn 0.500 0.000 0.000  0.01
4 P 0.500 0.500 0.500  -0.17
5 Sr 0.000 0.000 0.000  0.13